A plane-wave DFT calculation with SCAN was carried out for a crystal of Al4ReOs relaxed with PBEsol.

Results
- energy relative to the elements (eV/f.u.) = 0.8
- symmetry = F-43m, No. 216

Cell: 4.892 4.892 4.892 Å, 60.00 60.00 60.00°
Atoms (fractional coordinates):
Al: 0.874 0.375 0.375
Re: 0.000 0.000 0.000
Os: 0.750 0.750 0.750
Al: 0.375 0.375 0.375
Al: 0.375 0.874 0.375
Al: 0.375 0.375 0.874